# 1
Entry from the Alexandria database: a relaxed structure of Nd6AgIr (PBE-GGA).

CIF file:
```
data_Nd6AgIr
_chemical_formula_sum 'Nd6 Ag1 Ir1'
_space_group_name_H-M_alt 'P -1'
_space_group_IT_number 2
_space_group_name_Hall '-P 1'
_cell_length_a 6.9485
_cell_length_b 6.9553
_cell_length_c 7.8035
_cell_angle_alpha 90.07
_cell_angle_beta 116.37
_cell_angle_gamma 119.97
loop_
_atom_site_label
_atom_site_type_symbol
_atom_site_fract_x
_atom_site_fract_y
_atom_site_fract_z
_atom_site_occupancy
Nd1 Nd 0.0224 0.0792 0.2555 1
Nd2 Nd 0.3124 0.7331 0.2554 1
Nd3 Nd 0.3228 0.5563 0.7445 1
Ag1 Ag 0.5000 0.0000 0.0000 1
Ir1 Ir 0.5000 0.5000 0.5000 1
```

Summary:
The total moment is 0.00 μB/atom. The formation energy is -101 meV/atom.

# 2
Entry from the Alexandria database: a relaxed structure of CsPu4Se8 (PBE-GGA).

CIF file:
```
data_CsPu4Se8
_chemical_formula_sum 'Cs2 Pu8 Se16'
_space_group_name_H-M_alt 'C 1 m 1'
_space_group_IT_number 8
_space_group_name_Hall 'C -2y'
_cell_length_a 19.5771
_cell_length_b 4.2764
_cell_length_c 13.3661
_cell_angle_alpha 90.00
_cell_angle_beta 131.51
_cell_angle_gamma 90.00
loop_
_atom_site_label
_atom_site_type_symbol
_atom_site_fract_x
_atom_site_fract_y
_atom_site_fract_z
_atom_site_occupancy
Cs1 Cs 0.0000 0.0000 0.0000 1
Pu1 Pu 0.1389 0.0000 0.8181 1
Pu2 Pu 0.1477 0.5000 0.4830 1
Pu3 Pu 0.3455 0.0000 0.5087 1
Pu4 Pu 0.3525 0.5000 0.1693 1
Se1 Se 0.0391 0.0000 0.3069 1
Se2 Se 0.1066 0.5000 0.6554 1
Se3 Se 0.1566 0.5000 0.9774 1
Se4 Se 0.2203 0.5000 0.3520 1
Se5 Se 0.2723 0.0000 0.6393 1
Se6 Se 0.3354 0.0000 0.0103 1
Se7 Se 0.3795 0.0000 0.3279 1
Se8 Se 0.4532 0.5000 0.6857 1
```

Summary:
The formation energy from raw total energies comes out at -1.2642 eV/atom. The total moment is 0.00 μB/atom.

# 3
Entry from the Alexandria database: a relaxed structure of LaTmHfSc (PBE-GGA).

CIF file:
```
data_LaTmHfSc
_chemical_formula_sum 'La4 Tm4 Hf4 Sc4'
_space_group_name_H-M_alt 'F -4 3 m'
_space_group_IT_number 216
_space_group_name_Hall 'F -4 2 3'
_cell_length_a 7.6136
_cell_length_b 7.6136
_cell_length_c 7.6136
_cell_angle_alpha 90.00
_cell_angle_beta 90.00
_cell_angle_gamma 90.00
loop_
_atom_site_label
_atom_site_type_symbol
_atom_site_fract_x
_atom_site_fract_y
_atom_site_fract_z
_atom_site_occupancy
La1 La 0.0000 0.0000 0.0000 1
Tm1 Tm 0.2500 0.2500 0.2500 1
Hf1 Hf 0.0000 0.0000 0.5000 1
Sc1 Sc 0.2500 0.2500 0.7500 1
```

Summary:
The total moment is 0.00 μB/atom. The formation energy is 227 meV/atom.

# 4
Entry from the Alexandria database: a relaxed structure of ScAlP (PBE-GGA).

CIF file:
```
data_ScAlP
_chemical_formula_sum 'Sc6 Al6 P6'
_space_group_name_H-M_alt 'R 3 m'
_space_group_IT_number 160
_space_group_name_Hall 'R 3 -2"'
_cell_length_a 3.6235
_cell_length_b 3.6235
_cell_length_c 30.3511
_cell_angle_alpha 90.00
_cell_angle_beta 90.00
_cell_angle_gamma 120.00
loop_
_atom_site_label
_atom_site_type_symbol
_atom_site_fract_x
_atom_site_fract_y
_atom_site_fract_z
_atom_site_occupancy
Sc1 Sc 0.0000 0.0000 0.0000 1
Sc2 Sc 0.0000 0.0000 0.2330 1
Al1 Al 0.0000 0.0000 0.1337 1
Al2 Al 0.0000 0.0000 0.4042 1
P1 P 0.0000 0.0000 0.6173 1
P2 P 0.0000 0.0000 0.8431 1
```

Summary:
The total moment is 0.00 μB/atom. The formation energy is -783 meV/atom.

Values for electronic total energy, eV per atom, ordered as above
-5.141; -7.884; -6.194; -5.944